Here is PtRhW2 after structural relaxation from the Alexandria database. Energies are from PBEsol.

Lattice parameters (Å, degrees): 2.728 4.438 4.862 90.00 90.00 90.00
Sites, in units of the cell vectors:
Pt (0.500, 0.000, 0.542)
W (0.000, 0.000, 0.044)
W (0.000, 0.500, 0.708)
Rh (0.500, 0.500, 0.205)

## Properties
Theoretical density in g/cm3: 18.8
Formation energy from the elements in meV per atom: -250